Here is an optimized crystal structure of Hf8GeSb2 from the Alexandria database. Energies are from PBE. Values from VASP.

Computed properties:
- formation energy without anion corrections (meV/atom) = -327
- SG = C2/m (12)
- DOS at the Fermi energy (states/eV/atom) = 0.77
- uncorrected energy (eV per atom) = -8.735

Quantum ESPRESSO input file:
```
&SYSTEM
  ibrav = 0, nat = 11, ntyp = 3
/
ATOMIC_SPECIES
Sb 121.76 Sb.upf
Hf 178.49 Hf.upf
Ge 72.64 Ge.upf
CELL_PARAMETERS angstrom
-3.1464 0.4366 -2.1408
1.1898 -6.8808 -3.1520
-3.0148 -3.6040 7.1229
ATOMIC_POSITIONS crystal
Sb 0.1732 0.7591 0.3464
Sb 0.8268 0.2409 0.6536
Hf 0.4122 0.4757 0.8244
Hf 0.9756 0.7556 0.9512
Hf 0.6626 0.0490 0.3252
Hf 0.3374 0.9510 0.6748
Hf 0.2050 0.3599 0.4099
Hf 0.7950 0.6401 0.5901
Hf 0.0244 0.2444 0.0488
Hf 0.5878 0.5243 0.1756
Ge 0.5000 0.0000 0.0000
```



Here is an optimized crystal structure of K2ZrBr from the Alexandria database. Energies are from PBE. Values from VASP.

Computed properties:
- formation energy without anion corrections (meV/atom) = -131
- SG = Cmmm (65)
- DOS at the Fermi energy (states/eV/atom) = 0.44
- offset from the most stable computed form (eV/atom) = 0.000
- uncorrected energy (eV per atom) = -3.235

Quantum ESPRESSO input file:
```
&SYSTEM
  ibrav = 0, nat = 4, ntyp = 3
/
ATOMIC_SPECIES
Br 79.90 Br.upf
K 39.10 K.upf
Zr 91.22 Zr.upf
CELL_PARAMETERS angstrom
3.6281 0.0041 0.0000
-0.0234 3.6280 0.0000
0.0000 0.0000 10.4371
ATOMIC_POSITIONS crystal
Br 0.5000 0.5000 0.7500
K 0.0000 0.0000 0.5503
K 0.0000 0.0000 0.9497
Zr 0.5000 0.5000 0.2500
```



Here is an optimized crystal structure of Cs6PrO4 from the Alexandria database. Energies are from PBE. Values from VASP.

Computed properties:
- formation energy without anion corrections (meV/atom) = -1389
- SG = P6_3mc (186)
- DOS at the Fermi energy (states/eV/atom) = 0.17
- uncorrected energy (eV per atom) = -4.092

Quantum ESPRESSO input file:
```
&SYSTEM
  ibrav = 0, nat = 22, ntyp = 3
/
ATOMIC_SPECIES
Cs 132.91 Cs.upf
O 16.00 O.upf
Pr 140.91 Pr.upf
CELL_PARAMETERS angstrom
-3.9725 3.6006 4.4643
-4.5732 -10.9403 4.7543
10.4741 5.2803 5.0615
ATOMIC_POSITIONS crystal
Cs 0.0971 0.4380 0.8761
Cs 0.0872 0.8520 0.1480
Cs 0.5872 0.1480 0.2959
Cs 0.0872 0.8520 0.7041
Cs 0.5872 0.7041 0.8520
Cs 0.5971 0.8761 0.4380
Cs 0.0971 0.4380 0.5620
Cs 0.5872 0.1480 0.8520
Cs 0.5971 0.5620 0.4380
Cs 0.5971 0.5620 0.1239
Cs 0.0872 0.2959 0.1480
Cs 0.0971 0.1239 0.5620
O 0.8119 0.5183 0.7591
O 0.3380 0.3333 0.6667
O 0.8380 0.6667 0.3333
O 0.3119 0.4817 0.2409
O 0.3119 0.7591 0.2409
O 0.8119 0.2409 0.4817
O 0.8119 0.2409 0.7591
O 0.3119 0.7591 0.5183
Pr 0.1656 0.6667 0.3333
Pr 0.6656 0.3333 0.6667
```



Here is an optimized crystal structure of AcPuBiTe from the Alexandria database. Energies are from PBE. Values from VASP.

Computed properties:
- formation energy without anion corrections (meV/atom) = -720
- SG = P4/nmm (129)
- DOS at the Fermi energy (states/eV/atom) = 1.87
- offset from the most stable computed form (eV/atom) = 0.114
- uncorrected energy (eV per atom) = -7.086

Quantum ESPRESSO input file:
```
&SYSTEM
  ibrav = 0, nat = 8, ntyp = 4
/
ATOMIC_SPECIES
Bi 208.98 Bi.upf
Te 127.60 Te.upf
Ac 227.00 Ac.upf
Pu 244.00 Pu.upf
CELL_PARAMETERS angstrom
-0.9983 3.2189 3.3430
-4.6389 -0.5934 -0.8139
-0.3409 -8.7480 8.3214
ATOMIC_POSITIONS crystal
Bi 0.5000 0.0000 0.1942
Bi 0.0000 0.5000 0.8058
Te 0.0000 0.0000 0.5000
Te 0.5000 0.5000 0.5000
Ac 0.0000 0.5000 0.2997
Ac 0.5000 0.0000 0.7003
Pu 0.5000 0.5000 0.0000
Pu 0.0000 0.0000 0.0000
```



Here is an optimized crystal structure of Sr3Si8Ni3 from the Alexandria database. Energies are from PBE. Values from VASP.

Computed properties:
- formation energy without anion corrections (meV/atom) = -273
- SG = Immm (71)
- DOS at the Fermi energy (states/eV/atom) = 0.52
- uncorrected energy (eV per atom) = -4.971

Quantum ESPRESSO input file:
```
&SYSTEM
  ibrav = 0, nat = 14, ntyp = 3
/
ATOMIC_SPECIES
Si 28.09 Si.upf
Sr 87.62 Sr.upf
Ni 58.69 Ni.upf
CELL_PARAMETERS angstrom
3.9759 0.0000 0.0000
1.9879 7.9806 -0.5725
1.9879 1.6219 7.8350
ATOMIC_POSITIONS crystal
Si 0.3863 0.9195 0.3079
Si 0.6137 0.6921 0.0805
Si 0.1593 0.1645 0.5168
Si 0.6137 0.0805 0.6921
Si 0.8407 0.4832 0.8355
Si 0.8407 0.8355 0.4832
Si 0.3863 0.3079 0.9195
Si 0.1593 0.5168 0.1645
Sr 0.5000 0.5000 0.5000
Sr 0.2086 0.7914 0.7914
Sr 0.7914 0.2086 0.2086
Ni 0.0000 0.8036 0.1964
Ni 0.0000 0.1964 0.8036
Ni 0.5000 0.0000 0.0000
```



Here is an optimized crystal structure of Na2CeHoCl8 from the Alexandria database. Energies are from PBE. Values from VASP.

Computed properties:
- formation energy without anion corrections (meV/atom) = -2088
- SG = P2/m (10)
- DOS at the Fermi energy (states/eV/atom) = 0.76
- uncorrected energy (eV per atom) = -4.415

Quantum ESPRESSO input file:
```
&SYSTEM
  ibrav = 0, nat = 12, ntyp = 4
/
ATOMIC_SPECIES
Cl 35.45 Cl.upf
Na 22.99 Na.upf
Ho 164.93 Ho.upf
Ce 140.12 Ce.upf
CELL_PARAMETERS angstrom
-0.5372 -0.8981 6.5190
-3.5344 -5.3003 -1.4194
6.9914 -4.6441 -0.0629
ATOMIC_POSITIONS crystal
Cl 0.8231 0.1947 0.7616
Cl 0.8231 0.1947 0.2384
Cl 0.1769 0.8053 0.7616
Cl 0.1769 0.8053 0.2384
Cl 0.3087 0.2915 0.5000
Cl 0.7033 0.7195 0.0000
Cl 0.2967 0.2805 0.0000
Cl 0.6913 0.7085 0.5000
Na 0.5000 0.5000 0.2433
Na 0.5000 0.5000 0.7567
Ho 0.0000 0.0000 0.0000
Ce 0.0000 0.0000 0.5000
```



Here is an optimized crystal structure of Er6AlCd from the Alexandria database. Energies are from PBE. Values from VASP.

Computed properties:
- SG = P4/mmm (123)
- DOS at the Fermi energy (states/eV/atom) = 1.42
- calculated formation energy (eV/f.u.) = -1.11
- uncorrected energy (eV per atom) = -4.143

Quantum ESPRESSO input file:
```
&SYSTEM
  ibrav = 0, nat = 8, ntyp = 3
/
ATOMIC_SPECIES
Er 167.26 Er.upf
Cd 112.41 Cd.upf
Al 26.98 Al.upf
CELL_PARAMETERS angstrom
-2.7267 -0.2228 3.8983
-3.6579 -1.5178 -2.6453
2.7342 -9.0241 1.3968
ATOMIC_POSITIONS crystal
Er 0.0000 0.5000 0.2570
Er 0.5000 0.5000 0.0000
Er 0.5000 0.0000 0.2570
Er 0.5000 0.5000 0.5000
Er 0.0000 0.5000 0.7430
Er 0.5000 0.0000 0.7430
Cd 0.0000 0.0000 0.0000
Al 0.0000 0.0000 0.5000
```



Here is an optimized crystal structure of Pm2NdUO8 from the Alexandria database. Energies are from PBE. Values from VASP.

Computed properties:
- formation energy without anion corrections (meV/atom) = -3197
- SG = Pmmm (47)
- DOS at the Fermi energy (states/eV/atom) = 0.82
- uncorrected energy (eV per atom) = -8.632

Quantum ESPRESSO input file:
```
&SYSTEM
  ibrav = 0, nat = 12, ntyp = 4
/
ATOMIC_SPECIES
O 16.00 O.upf
Pm 145.00 Pm.upf
U 238.03 U.upf
Nd 144.24 Nd.upf
CELL_PARAMETERS angstrom
3.9573 -0.0311 -0.0020
0.0402 5.5025 -0.0062
0.0041 0.0087 7.7077
ATOMIC_POSITIONS crystal
O 0.4996 0.2231 0.0000
O 0.0003 0.7625 0.7801
O 0.9997 0.2375 0.2199
O 0.5004 0.7769 0.0000
O 0.9997 0.2375 0.7801
O 0.5001 0.2546 0.5000
O 0.4999 0.7454 0.5000
O 0.0003 0.7625 0.2199
Pm 0.5000 0.5000 0.7535
Pm 0.5000 0.5000 0.2465
U 0.0000 0.0000 0.0000
Nd 0.0000 0.0000 0.5000
```



Here is an optimized crystal structure of HgRh2 from the Alexandria database. Energies are from PBE. Values from VASP.

Computed properties:
- SG = Fd-3m (227)
- DOS at the Fermi energy (states/eV/atom) = 1.83
- calculated formation energy (eV/f.u.) = 0.99
- uncorrected energy (eV per atom) = -4.671

Quantum ESPRESSO input file:
```
&SYSTEM
  ibrav = 0, nat = 6, ntyp = 2
/
ATOMIC_SPECIES
Rh 102.91 Rh.upf
Hg 200.59 Hg.upf
CELL_PARAMETERS angstrom
0.0000 3.7078 3.7078
3.7078 0.0000 3.7078
3.7078 3.7078 0.0000
ATOMIC_POSITIONS crystal
Rh 0.1250 0.1250 0.1250
Rh 0.6250 0.1250 0.1250
Rh 0.1250 0.6250 0.1250
Rh 0.1250 0.1250 0.6250
Hg 0.5000 0.5000 0.5000
Hg 0.7500 0.7500 0.7500
```



Here is an optimized crystal structure of BeIn2Hg from the Alexandria database. Energies are from PBE. Values from VASP.

Computed properties:
- SG = P4/mmm (123)
- DOS at the Fermi energy (states/eV/atom) = 0.47
- calculated formation energy (eV/f.u.) = 1.79
- offset from the most stable computed form (eV/atom) = 0.190
- uncorrected energy (eV per atom) = -1.930

Quantum ESPRESSO input file:
```
&SYSTEM
  ibrav = 0, nat = 4, ntyp = 3
/
ATOMIC_SPECIES
In 114.82 In.upf
Be 9.01 Be.upf
Hg 200.59 Hg.upf
CELL_PARAMETERS angstrom
-1.5249 -0.3008 -4.3121
-1.7790 -4.1274 0.9170
-3.6197 1.8165 1.1533
ATOMIC_POSITIONS crystal
In 0.0000 0.0000 0.0000
In 0.5000 0.5000 0.0000
Be 0.5000 0.0000 0.5000
Hg 0.0000 0.5000 0.5000
```



Here is an optimized crystal structure of LiAcLaCu from the Alexandria database. Energies are from PBE. Values from VASP.

Computed properties:
- SG = F-43m (216)
- DOS at the Fermi energy (states/eV/atom) = 1.26
- calculated formation energy (eV/f.u.) = 0.15
- uncorrected energy (eV per atom) = -3.723

Quantum ESPRESSO input file:
```
&SYSTEM
  ibrav = 0, nat = 4, ntyp = 4
/
ATOMIC_SPECIES
Li 6.94 Li.upf
Cu 63.55 Cu.upf
La 138.91 La.upf
Ac 227.00 Ac.upf
CELL_PARAMETERS angstrom
-4.2495 -1.5739 -2.9395
-0.4790 -5.1655 -1.5046
-3.8131 -3.1168 2.2185
ATOMIC_POSITIONS crystal
Li 0.7500 0.7500 0.7500
Cu 0.2500 0.2500 0.2500
La 0.5000 0.5000 0.5000
Ac 0.0000 0.0000 0.0000
```



Here is an optimized crystal structure of YAgAs2 from the Alexandria database. Energies are from PBE. Values from VASP.

Computed properties:
- SG = Cmmm (65)
- DOS at the Fermi energy (states/eV/atom) = 0.54
- calculated formation energy (eV/f.u.) = -2.28
- uncorrected energy (eV per atom) = -5.223

Quantum ESPRESSO input file:
```
&SYSTEM
  ibrav = 0, nat = 4, ntyp = 3
/
ATOMIC_SPECIES
Y 88.91 Y.upf
Ag 107.87 Ag.upf
As 74.92 As.upf
CELL_PARAMETERS angstrom
4.6347 0.0218 0.0021
-0.0118 4.6349 0.0021
-0.0008 -0.0008 3.8400
ATOMIC_POSITIONS crystal
Y 0.5000 0.0000 0.5000
Ag 0.0000 0.5000 0.5000
As 0.5000 0.5000 0.0000
As 0.0000 0.0000 0.0000
```